A plane-wave DFT calculation with PBE+U was carried out for a relaxed structure of NbFeMoO6.

**VASP energy**: -139.81 eV for the cell shown
**Calculated volume**: 217.0 Å³ per cell
**D(E_F)**: 0.008 states/eV/atom

Cell: 4.866 4.866 9.166 Å, 90.00 90.00 90.00°
Sites, in units of the cell vectors:
Nb1 0.000 0.000 0.000
Nb2 0.500 0.500 0.500
Fe1 0.000 0.000 0.671
Fe2 0.500 0.500 0.171
Mo1 0.000 0.000 0.343
Mo2 0.500 0.500 0.843
O1 0.189 0.189 0.173
O2 0.206 0.206 0.489
O3 0.207 0.207 0.850
O4 0.293 0.707 0.350
O5 0.294 0.706 0.989
O6 0.311 0.689 0.673
O7 0.689 0.311 0.673
O8 0.706 0.294 0.989
O9 0.707 0.293 0.350
O10 0.793 0.793 0.850
O11 0.794 0.794 0.489
O12 0.811 0.811 0.173